Entry from Alexandria: a relaxed CaPtSe2Br crystal (GGA-PBE).

The calculation puts the total energy at -3.89 eV/atom. The calculation puts the relative energy among the computed polymorphs at 0 meV per atom.

The structure belongs to space group P4/mmm (No. 123); the cell edges are 5.0438, 5.0438 and 5.1318 Å and the angles 90.00°, 90.00° and 90.00°. Symmetry generates all atoms from Ca at (0.0000, 0.0000, 0.0000), Pt at (0.5000, 0.5000, 0.5000), Se at (0.0000, 0.5000, 0.5000) and Br at (0.5000, 0.5000, 0.0000).

Entry from Alexandria: a relaxed CuNiSbIr crystal (GGA-PBE).

The calculation puts the total energy at -5.70 eV/atom.

The structure belongs to space group F-43m (No. 216); the cell edges are 6.1560, 6.1560 and 6.1560 Å and the angles 90.00°, 90.00° and 90.00°. Symmetry generates all atoms from Cu at (0.0000, 0.0000, 0.0000), Ni at (0.2500, 0.2500, 0.2500), Sb at (0.0000, 0.0000, 0.5000) and Ir at (0.2500, 0.2500, 0.7500).

Entry from Alexandria: a relaxed Cs8PdCl2 crystal (GGA-PBE).

The calculation puts the total energy at -2.07 eV/atom.

The structure belongs to space group C2/m (No. 12); the cell edges are 16.1471, 11.8581 and 8.9270 Å and the angles 90.00°, 91.29° and 90.00°. Symmetry generates all atoms from Cs at (0.0909, 0.2093, 0.2794), Cs at (0.1183, 0.5000, 0.8295), Cs at (0.1858, 0.0000, 0.7233), Pd at (0.0000, 0.0000, 0.5000) and Cl at (0.0925, 0.5000, 0.2093).

Entry from Alexandria: a relaxed ZnReIr crystal (GGA-PBE).

The calculation puts the total energy at -7.48 eV/atom. The calculation puts the relative energy among the computed polymorphs at 207 meV per atom. The calculated formation energy is 13 kJ/mol of formula units.

The structure belongs to space group Imm2 (No. 44); the cell edges are 2.7670, 3.8750 and 8.0588 Å and the angles 90.00°, 90.00° and 90.00°. Symmetry generates all atoms from Zn at (0.0000, 0.0000, 0.0000), Re at (0.0000, 0.0000, 0.3307) and Ir at (0.0000, 0.0000, 0.6698).